1.
Computed, not measured: IClF after structural relaxation at the PBE-GGA level of DFT.

CIF file:
```
data_IClF
_space_group_name_H-M_alt 'P -1'
_space_group_IT_number 2
_cell_length_a 4.532
_cell_length_b 4.788
_cell_length_c 5.274
_cell_angle_alpha 110.94
_cell_angle_beta 90.05
_cell_angle_gamma 117.63
loop_
_space_group_symop_operation_xyz
'x,y,z'
'-x,-y,-z'
loop_
_atom_site_label
_atom_site_fract_x
_atom_site_fract_y
_atom_site_fract_z
I1 0.000 0.000 0.000
Cl1 0.000 0.000 0.500
F1 0.500 0.000 0.000
```

Properties
* calculated volume: 30.9 A^3/atom
* crystal system: triclinic
* magnetization: 0.00 μB per formula unit
* E above lowest polymorph: 162 meV per atom
* energy relative to the elements, uncorrected: -509.2 meV per atom

---

2.
Computed, not measured: IClF after structural relaxation at the PBE-GGA level of DFT.

CIF file:
```
data_IClF
_space_group_name_H-M_alt 'P -1'
_space_group_IT_number 2
_cell_length_a 5.342
_cell_length_b 5.668
_cell_length_c 6.215
_cell_angle_alpha 67.04
_cell_angle_beta 87.59
_cell_angle_gamma 87.47
loop_
_space_group_symop_operation_xyz
'x,y,z'
'-x,-y,-z'
loop_
_atom_site_label
_atom_site_fract_x
_atom_site_fract_y
_atom_site_fract_z
I1 0.095 0.337 0.237
Cl1 0.226 0.991 0.728
F1 0.353 0.592 0.217
```

Properties
* calculated volume: 28.8 A^3/atom
* crystal system: triclinic
* magnetization: 0.00 μB per formula unit
* E above lowest polymorph: 49 meV per atom
* energy relative to the elements, uncorrected: -622.1 meV per atom

---

3.
Computed, not measured: IClF2 after structural relaxation at the PBE-GGA level of DFT.

CIF file:
```
data_IClF2
_space_group_name_H-M_alt 'R -3 m'
_space_group_IT_number 166
_space_group_name_Hall '-R 3 2"'
_cell_length_a 3.2868
_cell_length_b 3.2868
_cell_length_c 28.5526
_cell_angle_alpha 90.00
_cell_angle_beta 90.00
_cell_angle_gamma 120.00
loop_
_atom_site_label
_atom_site_fract_x
_atom_site_fract_y
_atom_site_fract_z
I1 0.0000 0.0000 0.0000
Cl1 0.0000 0.0000 0.5000
F1 0.0000 0.0000 0.4380
```

Properties
* calculated volume: 22.3 A^3/atom
* crystal system: trigonal
* magnetization: 0.72 μB per formula unit
* E above lowest polymorph: 138 meV per atom
* energy relative to the elements, uncorrected: -316.9 meV per atom